First-principles (PBE) data for a relaxed structure of TaMoPt2, as listed in the Alexandria database.

abc: 2.787 4.109 5.568
angles: 90.00 90.00 90.00
Fractional positions:
1 Ta 0.000 0.000 0.000
2 Mo 0.000 0.000 0.500
3 Pt 0.500 0.500 0.254
4 Pt 0.500 0.500 0.746

Output
E_tot ... -9.182 eV per atom
Size of the total moment ... 0.00 μB per atom
ΔH_f (0 K) ... -491 meV/atom
Space-group type ... Pmmm, No. 47